Density functional theory data (PBE-GGA) for BaNaLa2Tc after structural relaxation.

## Properties
- symmetry = P4/mmm
- final energy (eV/atom) = -4.54
- crystal system = tetragonal
- magnetic moment (μB per formula unit) = 0.00

Unit cell a=5.468 b=5.468 c=6.504 alpha=90.00 beta=90.00 gamma=90.00
Fractional positions:
Na1 0.500 0.500 0.500
Tc1 0.000 0.000 0.000
Ba1 0.000 0.000 0.500
La1 0.000 0.500 0.000
La2 0.500 0.000 0.000



Density functional theory data (PBE-GGA) for Mn3TlAs after structural relaxation.

## Properties
- symmetry = Pm-3m
- offset from the most stable computed form (meV/atom) = 0
- crystal system = cubic
- magnetic moment (μB per formula unit) = 11.15

Unit cell a=4.704 b=4.704 c=4.704 alpha=90.00 beta=90.00 gamma=90.00
Site moments in Bohr magnetons follow the coordinates.
Fractional positions:
Tl1 0.500 0.500 0.500  0.04
As1 0.000 0.000 0.000  0.08
Mn1 0.000 0.500 0.000  -3.60
Mn2 0.500 0.000 0.000  -3.72
Mn3 0.000 0.000 0.500  -3.64



Density functional theory data (PBE-GGA) for NaSrHgO2 after structural relaxation.

## Properties
- symmetry = P2/c
- E_form (uncorrected) (kJ per mole of atoms) = -124
- crystal system = monoclinic
- magnetic moment (μB per formula unit) = 0.48

Unit cell a=5.126 b=6.192 c=6.562 alpha=97.53 beta=90.00 gamma=90.00
Site moments in Bohr magnetons follow the coordinates.
Fractional positions:
Sr1 0.634 0.500 0.250  0.01
Sr2 0.366 0.500 0.750  0.01
O1 0.645 0.743 0.977  0.14
O2 0.355 0.743 0.477  0.14
O3 0.355 0.257 0.023  0.14
O4 0.645 0.257 0.523  0.14
Hg1 0.000 0.000 0.000  0.09
Hg2 0.000 0.000 0.500  0.09
Na1 0.518 0.000 0.750  0.00
Na2 0.482 0.000 0.250  0.00



Density functional theory data (PBE-GGA) for Er3UPa2P6 after structural relaxation.

## Properties
- symmetry = C2/m
- final energy (eV/atom) = -7.76
- crystal system = monoclinic
- magnetic moment (μB per formula unit) = 2.49

Unit cell a=3.954 b=7.926 c=8.855 alpha=103.12 beta=102.90 gamma=90.00
Site moments in Bohr magnetons follow the coordinates.
Fractional positions:
Pa1 0.165 0.331 0.331  0.12
Pa2 0.835 0.669 0.669  0.12
P1 0.334 0.917 0.668  -0.02
P2 0.666 0.083 0.332  -0.02
P3 0.000 0.248 0.999  -0.03
P4 0.333 0.418 0.665  0.00
P5 0.667 0.582 0.335  0.00
P6 0.000 0.752 0.001  -0.03
Er1 0.500 0.500 0.000  0.00
Er2 0.167 0.833 0.335  0.00
Er3 0.833 0.167 0.665  0.00
U1 0.500 0.000 0.000  2.02